A plane-wave DFT calculation with GGA-PBEsol was carried out for a geometry-optimized PRh2F structure.

Values from the calculation:
Total magnetization ... 0.0 μB/cell
Calculated volume ... 46 Å³/cell
Uncorrected formation energy ... -649 meV/atom

Lattice parameters (Å, degrees): 4.0243 4.0243 4.0243 60.00 60.00 60.00
Positions (direct):
F 0.0000 0.0000 0.0000
Rh 0.2500 0.2500 0.2500
Rh 0.7500 0.7500 0.7500
P 0.5000 0.5000 0.5000